Record 1
Crystalline Sr3BeAs3 at its relaxed geometry. Source: the Alexandria database, functional PBE.

Output
ΔE_f = -0.927 eV per atom
space group = Cmce (64)
magnetization = 0.0000 μB per atom
E = -116.84 eV/cell
crystal system = orthorhombic

POSCAR file:
```
Sr3BeAs3
1.0
-4.9661 -3.0274 2.7204
7.2296 -6.6062 -1.7318
4.8586 2.3163 11.4470
Sr Be As
12 4 12
direct
0.6918 0.0000 0.8542 Sr
0.8082 0.0000 0.3542 Sr
0.1918 0.0000 0.6458 Sr
0.3082 0.0000 0.1458 Sr
0.0297 0.6565 0.3702 Sr
0.4703 0.3435 0.8702 Sr
0.8733 0.3435 0.1298 Sr
0.6267 0.6565 0.6298 Sr
0.9703 0.3435 0.6298 Sr
0.5297 0.6565 0.1298 Sr
0.1267 0.6565 0.8702 Sr
0.3733 0.3435 0.3702 Sr
0.4188 0.8376 0.5000 Be
0.0812 0.1624 0.0000 Be
0.5812 0.1624 0.5000 Be
0.9188 0.8376 0.0000 Be
0.1997 0.0000 0.8998 As
0.3003 0.0000 0.3998 As
0.6997 0.0000 0.6002 As
0.8003 0.0000 0.1002 As
0.5382 0.6841 0.3857 As
0.9618 0.3159 0.8857 As
0.3541 0.3159 0.1143 As
0.1459 0.6841 0.6143 As
0.4618 0.3159 0.6143 As
0.0382 0.6841 0.1143 As
0.6459 0.6841 0.8857 As
0.8541 0.3159 0.3857 As
```

***

Record 2
Crystalline Sr2BeAs at its relaxed geometry. Source: the Alexandria database, functional PBE.

Output
ΔE_f = 0.307 eV per atom
space group = F-43m (216)
relative energy among the computed polymorphs = 760.8 meV per atom
magnetization = 0.0000 μB per atom
E = -10.51 eV/cell
crystal system = cubic

POSCAR file:
```
Sr2BeAs
1.0
-3.6594 -2.5051 -3.0579
0.3396 -5.3169 -0.7953
-3.6035 -3.2984 2.2699
Sr As Be
2 1 1
direct
0.0000 0.0000 0.0000 Sr
0.2500 0.2500 0.2500 Sr
0.5000 0.5000 0.5000 As
0.7500 0.7500 0.7500 Be
```

***

Record 3
Crystalline SrBe5As4 at its relaxed geometry. Source: the Alexandria database, functional PBE.

Output
ΔE_f = -0.013 eV per atom
space group = P4/nmm (129)
magnetization = 0.0000 μB per atom
E = -78.08 eV/cell
crystal system = tetragonal

POSCAR file:
```
SrBe5As4
1.0
3.4771 0.0000 0.0000
0.0000 10.1925 0.0000
0.0000 0.0000 10.1926
Sr Be As
2 10 8
direct
0.0001 0.0000 0.0000 Sr
0.9999 0.5000 0.5000 Sr
0.9924 0.3932 0.1068 Be
0.9924 0.3932 0.8932 Be
0.5091 0.0000 0.5000 Be
0.9924 0.6068 0.1068 Be
0.9924 0.6068 0.8932 Be
0.0076 0.8932 0.3932 Be
0.0076 0.8932 0.6068 Be
0.4909 0.5000 0.0000 Be
0.0076 0.1068 0.6068 Be
0.0076 0.1068 0.3932 Be
0.4943 0.2662 0.0000 As
0.5058 0.0000 0.2662 As
0.5058 0.0000 0.7338 As
0.4943 0.7338 0.0000 As
0.5057 0.7662 0.5000 As
0.4942 0.5000 0.2338 As
0.4942 0.5000 0.7662 As
0.5057 0.2338 0.5000 As
```

***

Record 4
Crystalline Sr2Be2As at its relaxed geometry. Source: the Alexandria database, functional PBE.

Output
ΔE_f = 0.053 eV per atom
space group = I4/mmm (139)
relative energy among the computed polymorphs = 4.1 meV per atom
magnetization = 0.0000 μB per atom
E = -15.20 eV/cell
crystal system = tetragonal

POSCAR file:
```
Sr2Be2As
1.0
6.0322 0.0000 0.0000
0.0000 6.0322 0.0000
3.0161 3.0161 3.1909
Sr As Be
2 1 2
direct
0.7500 0.2500 0.5000 Sr
0.2500 0.7500 0.5000 Sr
0.0000 0.0000 0.0000 As
0.3476 0.3476 0.3048 Be
0.6524 0.6524 0.6952 Be
```

***

Record 5
Crystalline SrBeAs2 at its relaxed geometry. Source: the Alexandria database, functional PBE.

Output
ΔE_f = -0.008 eV per atom
space group = P4mm (99)
magnetization = 0.0000 μB per atom
E = -14.74 eV/cell
crystal system = tetragonal

POSCAR file:
```
SrBeAs2
1.0
-3.0825 -1.5958 1.2395
-0.7994 -1.1133 -3.4214
3.2169 -5.4263 1.0141
Sr As Be
1 2 1
direct
0.5000 0.5000 0.7585 Sr
0.0000 0.0000 0.0626 As
0.5000 0.5000 0.2774 As
0.0000 0.0000 0.4015 Be
```

***

Record 6
Crystalline Sr2BeAs at its relaxed geometry. Source: the Alexandria database, functional PBE.

Output
ΔE_f = -0.068 eV per atom
space group = Cmm2 (35)
relative energy among the computed polymorphs = 386.7 meV per atom
magnetization = 0.0004 μB per atom
E = -12.01 eV/cell
crystal system = orthorhombic

POSCAR file:
```
Sr2BeAs
1.0
-1.2422 -0.2571 -3.7324
2.2833 -2.9345 1.3096
-7.4965 -4.5786 2.8105
Sr As Be
2 1 1
direct
0.0000 0.0000 0.9227 Sr
0.5000 0.5000 0.3316 Sr
0.0000 0.0000 0.5720 As
0.5000 0.5000 0.6737 Be
```

***

Record 7
Crystalline Sr2BeAs at its relaxed geometry. Source: the Alexandria database, functional PBE.

Output
ΔE_f = -0.128 eV per atom
space group = C2/m (12)
relative energy among the computed polymorphs = 326.2 meV per atom
magnetization = 0.0000 μB per atom
E = -12.25 eV/cell
crystal system = monoclinic

POSCAR file:
```
Sr2BeAs
1.0
-3.3011 -0.2575 -3.3665
-4.0235 -2.3295 0.8259
-5.2644 4.7915 1.4609
Sr As Be
2 1 1
direct
0.0069 0.0069 0.9782 Sr
0.4931 0.4931 0.5218 Sr
0.7500 0.7500 0.7500 As
0.2500 0.2500 0.2500 Be
```

***

Record 8
Crystalline Sr4BeAs at its relaxed geometry. Source: the Alexandria database, functional PBE.

Output
ΔE_f = 0.768 eV per atom
space group = F-43m (216)
magnetization = 0.0003 μB per atom
E = -10.50 eV/cell
crystal system = cubic

POSCAR file:
```
Sr4BeAs
1.0
0.0000 4.8666 4.8666
4.8666 0.0000 4.8666
4.8666 4.8666 0.0000
Sr Be As
4 1 1
direct
0.8729 0.3757 0.3757 Sr
0.3757 0.3757 0.8729 Sr
0.3757 0.8729 0.3757 Sr
0.3757 0.3757 0.3757 Sr
0.0000 0.0000 0.0000 Be
0.7500 0.7500 0.7500 As
```

***

Record 9
Crystalline SrBeAs2 at its relaxed geometry. Source: the Alexandria database, functional PBE.

Output
ΔE_f = -0.668 eV per atom
space group = Fmm2 (42)
magnetization = 0.0000 μB per atom
E = -34.76 eV/cell
crystal system = orthorhombic

POSCAR file:
```
SrBeAs2
1.0
3.8877 0.0622 -0.6834
-0.2102 3.8825 -0.6834
-0.0064 -0.0068 11.2858
Sr Be As
2 2 4
direct
0.1184 0.1184 0.2291 Sr
0.8892 0.8892 0.7709 Sr
0.2566 0.7566 0.5000 Be
0.7566 0.2566 0.5000 Be
0.3157 0.3157 0.6202 As
0.6955 0.6955 0.3798 As
0.9565 0.5112 0.0000 As
0.5112 0.9565 0.0000 As
```

***

Record 10
Crystalline SrBeAs2 at its relaxed geometry. Source: the Alexandria database, functional PBE.

Output
ΔE_f = -0.497 eV per atom
space group = I-42d (122)
magnetization = 0.0000 μB per atom
E = -33.39 eV/cell
crystal system = tetragonal

POSCAR file:
```
SrBeAs2
1.0
-2.4454 2.1941 4.1602
-0.1151 -4.7154 2.4193
5.0122 0.1120 6.2646
Sr As Be
2 4 2
direct
0.0000 0.0000 0.0000 Sr
0.7500 0.2500 0.5000 Sr
0.4377 0.1250 0.2500 As
0.3123 0.6250 0.2500 As
0.3750 0.5623 0.7500 As
0.8750 0.6877 0.7500 As
0.5000 0.5000 0.0000 Be
0.2500 0.7500 0.5000 Be
```

***

Record 11
Crystalline SrBeAs2 at its relaxed geometry. Source: the Alexandria database, functional PBE.

Output
ΔE_f = -0.200 eV per atom
space group = R3m (160)
magnetization = 0.0000 μB per atom
E = -15.51 eV/cell
crystal system = trigonal

POSCAR file:
```
SrBeAs2
1.0
6.9429 0.1172 0.0721
5.7701 3.8631 0.0721
5.7701 1.8065 3.4154
Sr As Be
1 2 1
direct
0.7541 0.7541 0.7541 Sr
0.9716 0.9716 0.9716 As
0.1963 0.1963 0.1963 As
0.5779 0.5779 0.5779 Be
```

***

Record 12
Crystalline Sr2BeAs at its relaxed geometry. Source: the Alexandria database, functional PBE.

Output
ΔE_f = -0.041 eV per atom
space group = P4mm (99)
relative energy among the computed polymorphs = 413.1 meV per atom
magnetization = 0.1780 μB per atom
E = -11.90 eV/cell
crystal system = tetragonal

POSCAR file:
```
Sr2BeAs
1.0
-4.2075 1.3185 1.0113
-1.3622 -1.1604 -4.1548
-1.3303 -5.8284 2.0640
Sr As Be
2 1 1
direct
0.0000 0.0000 0.8761 Sr
0.5000 0.5000 0.3741 Sr
0.0000 0.0000 0.3766 As
0.5000 0.5000 0.8733 Be
```

***

Please write out number 5 again, unchanged.
Crystalline SrBeAs2 at its relaxed geometry. Source: the Alexandria database, functional PBE.

Output
ΔE_f = -0.008 eV per atom
space group = P4mm (99)
magnetization = 0.0000 μB per atom
E = -14.74 eV/cell
crystal system = tetragonal

POSCAR file:
```
SrBeAs2
1.0
-3.0825 -1.5958 1.2395
-0.7994 -1.1133 -3.4214
3.2169 -5.4263 1.0141
Sr As Be
1 2 1
direct
0.5000 0.5000 0.7585 Sr
0.0000 0.0000 0.0626 As
0.5000 0.5000 0.2774 As
0.0000 0.0000 0.4015 Be
```

***

- What is the magnetization in the sixth record?
  0.0004 μB per atom

***

- Look up the E of the twelfth one.
  -11.90 eV/cell